Entry from the Alexandria database: SrLi3Cu8 after structural relaxation (PBE).

Results
Uncorrected energy: -3.395 eV per atom
Formation energy: -0.545 eV/f.u.
Size of the total moment: 0.00 μB/atom
Symmetry: R3m
Calculated density: 5.571 g/cm³
Calculated volume: 15.3 Å³/atom
Density of states at the Fermi level: 5.06 states/eV per cell

a b c (Å): 5.029 5.029 8.882
angles (deg): 73.56 73.56 60.00
Element x y z (fractional)
Li 0.007 0.007 0.979
Cu 0.186 0.186 0.441
Cu 0.430 0.937 0.697
Cu 0.947 0.443 0.167
Li 0.483 0.483 0.551
Cu 0.937 0.937 0.697
Li 0.373 0.373 0.882
Sr 0.876 0.876 0.372
Cu 0.689 0.689 0.932
Cu 0.443 0.443 0.167
Cu 0.937 0.430 0.697
Cu 0.443 0.947 0.167